A relaxed structure of Fe2CoTeOs. Source: the Alexandria database, functional PBE-GGA.

Properties
**Raw total energy**: -6.61 eV/atom
**Formation energy from raw total energies**: 1.075 eV per atom

```
data_Fe2CoTeOs
_chemical_formula_sum 'Fe2 Co1 Te1 Os1'
_symmetry_space_group_name_H-M 'P 4/m m m'
_symmetry_Int_Tables_number 123
_symmetry_space_group_name_Hall '-P 4 2'
_cell_length_a 4.391
_cell_length_b 4.391
_cell_length_c 4.534
_cell_angle_alpha 90.00
_cell_angle_beta 90.00
_cell_angle_gamma 90.00
loop_
_atom_site_label
_atom_site_type_symbol
_atom_site_fract_x
_atom_site_fract_y
_atom_site_fract_z
_atom_site_occupancy
Fe1 Fe 0.000 0.500 0.000 1
Co1 Co 0.000 0.000 0.000 1
Te1 Te 0.500 0.500 0.500 1
Os1 Os 0.000 0.000 0.500 1
```

=====

A relaxed structure of TiFe2CoOs. Source: the Alexandria database, functional PBE-GGA.

Properties
**Raw total energy**: -7.27 eV/atom
**Energy relative to the elements**: 1363 meV per atom

```
data_TiFe2CoOs
_chemical_formula_sum 'Ti1 Fe2 Co1 Os1'
_symmetry_space_group_name_H-M 'P 4/m m m'
_symmetry_Int_Tables_number 123
_symmetry_space_group_name_Hall '-P 4 2'
_cell_length_a 4.215
_cell_length_b 4.215
_cell_length_c 4.113
_cell_angle_alpha 90.00
_cell_angle_beta 90.00
_cell_angle_gamma 90.00
loop_
_atom_site_label
_atom_site_type_symbol
_atom_site_fract_x
_atom_site_fract_y
_atom_site_fract_z
_atom_site_occupancy
Ti1 Ti 0.000 0.000 0.000 1
Fe1 Fe 0.000 0.500 0.000 1
Co1 Co 0.000 0.000 0.500 1
Os1 Os 0.500 0.500 0.500 1
```

=====

A relaxed structure of Zn2FeCoOs. Source: the Alexandria database, functional PBE-GGA.

Properties
**Raw total energy**: -4.51 eV/atom
**Energy relative to the elements**: 1358 meV per atom

```
data_Zn2FeCoOs
_chemical_formula_sum 'Zn2 Fe1 Co1 Os1'
_symmetry_space_group_name_H-M 'P 4/m m m'
_symmetry_Int_Tables_number 123
_symmetry_space_group_name_Hall '-P 4 2'
_cell_length_a 4.733
_cell_length_b 4.733
_cell_length_c 4.418
_cell_angle_alpha 90.00
_cell_angle_beta 90.00
_cell_angle_gamma 90.00
loop_
_atom_site_label
_atom_site_type_symbol
_atom_site_fract_x
_atom_site_fract_y
_atom_site_fract_z
_atom_site_occupancy
Zn1 Zn 0.000 0.500 0.000 1
Fe1 Fe 0.000 0.000 0.500 1
Co1 Co 0.500 0.500 0.500 1
Os1 Os 0.500 0.500 0.000 1
```

=====

A relaxed structure of FeCoP2. Source: the Alexandria database, functional PBE-GGA.

Properties
**Raw total energy**: -6.72 eV/atom
**Energy relative to the elements**: -126 meV per atom

```
data_FeCoP2
_chemical_formula_sum 'Fe1 Co1 P2'
_symmetry_space_group_name_H-M 'P 4/m m m'
_symmetry_Int_Tables_number 123
_symmetry_space_group_name_Hall '-P 4 2'
_cell_length_a 3.967
_cell_length_b 3.967
_cell_length_c 2.823
_cell_angle_alpha 90.00
_cell_angle_beta 90.00
_cell_angle_gamma 90.00
loop_
_atom_site_label
_atom_site_type_symbol
_atom_site_fract_x
_atom_site_fract_y
_atom_site_fract_z
_atom_site_occupancy
Fe1 Fe 0.000 0.000 0.000 1
Co1 Co 0.500 0.500 0.000 1
P1 P 0.000 0.500 0.500 1
```

=====

A relaxed structure of FeCoP. Source: the Alexandria database, functional PBE-GGA.

Properties
**Raw total energy**: -7.16 eV/atom
**Energy relative to the elements**: -163 meV per atom

```
data_FeCoP
_chemical_formula_sum 'Fe2 Co2 P2'
_symmetry_space_group_name_H-M 'I 4 m m'
_symmetry_Int_Tables_number 107
_symmetry_space_group_name_Hall 'I 4 -2'
_cell_length_a 2.711
_cell_length_b 2.711
_cell_length_c 8.666
_cell_angle_alpha 90.00
_cell_angle_beta 90.00
_cell_angle_gamma 90.00
loop_
_atom_site_label
_atom_site_type_symbol
_atom_site_fract_x
_atom_site_fract_y
_atom_site_fract_z
_atom_site_occupancy
Fe1 Fe 0.000 0.000 0.000 1
Co1 Co 0.000 0.000 0.708 1
P1 P 0.000 0.000 0.358 1
```

=====

A relaxed structure of FeCoP2. Source: the Alexandria database, functional PBE-GGA.

Properties
**Raw total energy**: -6.91 eV/atom
**Energy relative to the elements**: -311 meV per atom

```
data_FeCoP2
_chemical_formula_sum 'Fe4 Co4 P8'
_symmetry_space_group_name_H-M 'P n m a'
_symmetry_Int_Tables_number 62
_cell_length_a 6.897
_cell_length_b 4.749
_cell_length_c 5.737
_cell_angle_alpha 90.00
_cell_angle_beta 90.00
_cell_angle_gamma 90.00
loop_
_symmetry_equiv_pos_as_xyz
'x,y,z'
'-x,-y,-z'
'-x+1/2,-y,z+1/2'
'x+1/2,y,-z+1/2'
'x+1/2,-y+1/2,-z+1/2'
'-x+1/2,y+1/2,z+1/2'
'-x,y+1/2,-z'
'x,-y+1/2,z'
loop_
_atom_site_label
_atom_site_type_symbol
_atom_site_fract_x
_atom_site_fract_y
_atom_site_fract_z
_atom_site_occupancy
Fe1 Fe 0.095 0.250 0.111 1
Co1 Co 0.081 0.750 0.416 1
P1 P 0.159 0.006 0.762 1
```